Na3SiPd | PBE | optimized geometry

Unit cell a=5.2847 b=5.2847 c=5.2847 alpha=90.00 beta=90.00 gamma=90.00
Last column: nearest neighbours and their distance in Å.
Positions (direct):
Na (0.0000, 0.0000, 0.5000)  2 Pd 2.64
Na (0.0000, 0.5000, 0.0000)  2 Pd 2.64
Na (0.5000, 0.0000, 0.0000)  2 Pd 2.64
Si (0.5000, 0.5000, 0.5000)  12 Na 3.74
Pd (0.0000, 0.0000, 0.0000)  6 Na 2.64

Summary:
Offset from the most stable computed form ... 0.00 kcal/mol of atoms
Formation energy without anion corrections ... 0.5746 eV per atom
Mass density ... 2.29 g cm⁻³